(1)
The following is a PBE-GGA calculation of a relaxed Pm5Ho2Sc crystal, from Alexandria via LeMat-Bulk.

## Properties
Calculated formation energy in eV/f.u.: 0.27
Energy above the most stable polymorph in this dataset in meV per atom: 0
DOS at the Fermi energy in states/eV/cell: 13.7

Geometry as extended XYZ:
```
8
Lattice="0.000 5.728 6.277 3.629 0.000 6.277 3.629 5.728 0.000" Properties=species:S:1:pos:R:3 pbc="T T T"
Pm 0.000 0.000 0.000
Pm 1.814 2.864 5.212
Pm 5.465 5.728 9.362
Pm 5.443 8.592 11.490
Pm 1.792 5.728 9.362
Ho 3.629 2.929 8.308
Ho 3.629 8.528 8.308
Sc 3.629 5.728 6.251
```

(2)
The following is a PBE-GGA calculation of a relaxed Li2ZnSn crystal, from Alexandria via LeMat-Bulk.

## Properties
Calculated formation energy in eV/f.u.: -1.23
DOS at the Fermi energy in states/eV/cell: 0.3

Geometry as extended XYZ:
```
16
Lattice="6.507 0.000 0.000 0.000 6.507 0.000 0.000 0.000 6.507" Properties=species:S:1:pos:R:3 pbc="T T T"
Li 0.000 0.000 0.000
Li 0.000 3.253 3.253
Li 1.627 1.627 1.627
Li 1.627 4.880 4.880
Li 3.253 0.000 3.253
Li 3.253 3.253 0.000
Li 4.880 1.627 4.880
Li 4.880 4.880 1.627
Zn 1.627 1.627 4.880
Zn 1.627 4.880 1.627
Zn 4.880 1.627 1.627
Zn 4.880 4.880 4.880
Sn 0.000 0.000 3.253
Sn 0.000 3.253 0.000
Sn 3.253 0.000 0.000
Sn 3.253 3.253 3.253
```

(3)
The following is a PBE-GGA calculation of a relaxed CaZnSnSb3 crystal, from Alexandria via LeMat-Bulk.

## Properties
E_form (uncorrected) in eV/atom: -0.223
DOS at the Fermi energy in states/eV/cell: 2.8

Geometry as extended XYZ:
```
12
Lattice="9.389 0.000 0.000 0.000 4.282 0.000 -3.770 0.000 9.282" Properties=species:S:1:pos:R:3 pbc="T T T"
Ca 1.382 1.071 1.669
Ca 4.237 3.212 7.612
Zn 0.588 3.212 8.342
Zn 5.031 1.071 0.940
Sn -0.281 1.071 5.103
Sn 5.900 3.212 4.179
Sb -0.875 3.212 2.870
Sb -2.035 3.212 8.493
Sb 3.847 3.212 2.053
Sb 1.772 1.071 7.229
Sb 7.654 1.071 0.788
Sb 6.494 1.071 6.411
```

(4)
The following is a PBE-GGA calculation of a relaxed HoZn4Ni2 crystal, from Alexandria via LeMat-Bulk.

## Properties
Calculated formation energy in eV/f.u.: -2.00
DOS at the Fermi energy in states/eV/cell: 7.4

Geometry as extended XYZ:
```
14
Lattice="3.924 0.000 0.000 0.000 14.451 0.000 0.000 0.000 3.898" Properties=species:S:1:pos:R:3 pbc="T T T"
Ho 0.000 0.000 0.000
Ho 1.962 7.225 0.000
Zn 0.000 2.653 1.949
Zn 0.000 4.597 0.000
Zn 0.000 9.854 0.000
Zn 0.000 11.798 1.949
Zn 1.962 2.629 0.000
Zn 1.962 4.573 1.949
Zn 1.962 9.878 1.949
Zn 1.962 11.822 0.000
Ni 0.000 6.071 1.949
Ni 0.000 8.380 1.949
Ni 1.962 1.155 1.949
Ni 1.962 13.296 1.949
```

(5)
The following is a PBE-GGA calculation of a relaxed Ca3Ce2ThN6 crystal, from Alexandria via LeMat-Bulk.

## Properties
E_form (uncorrected) in eV/atom: -1.349

Geometry as extended XYZ:
```
12
Lattice="7.774 -1.806 0.000 7.774 1.806 0.000 -1.457 0.000 6.952" Properties=species:S:1:pos:R:3 pbc="T T T"
Ca 0.000 0.000 0.000
Ca 4.171 0.000 4.637
Ca 9.920 0.000 2.315
Ce 4.930 0.000 1.140
Ce 9.161 0.000 5.813
Th -0.729 0.000 3.476
N 1.645 0.000 4.192
N 2.612 0.000 0.465
N 7.287 0.000 1.817
N 6.804 0.000 5.136
N 11.479 0.000 6.487
N 12.446 0.000 2.760
```

(6)
The following is a PBE-GGA calculation of a relaxed P2RuNO crystal, from Alexandria via LeMat-Bulk.

## Properties
Energy above the most stable polymorph in this dataset in meV per atom: 317
E_form (uncorrected) in eV/atom: -0.280
DOS at the Fermi energy in states/eV/cell: 4.6

Geometry as extended XYZ:
```
10
Lattice="13.703 0.000 0.000 0.000 2.661 0.000 -0.061 0.000 3.520" Properties=species:S:1:pos:R:3 pbc="T T T"
P 0.000 0.000 0.000
P 2.545 1.331 2.591
P 6.851 1.331 0.000
P 9.397 0.000 2.591
Ru 3.997 1.331 0.856
Ru 10.849 0.000 0.856
N 1.424 0.000 2.571
N 8.275 1.331 2.571
O 5.512 1.331 2.621
O 12.363 0.000 2.621
```

(7)
The following is a PBE-GGA calculation of a relaxed ZrIn2Fe crystal, from Alexandria via LeMat-Bulk.

## Properties
Calculated formation energy in eV/f.u.: 0.05
DOS at the Fermi energy in states/eV/cell: 3.3

Geometry as extended XYZ:
```
4
Lattice="3.128 0.000 0.000 0.000 3.128 0.000 0.000 0.000 7.894" Properties=species:S:1:pos:R:3 pbc="T T T"
Zr 0.000 0.000 0.000
In 1.564 1.564 2.226
In 1.564 1.564 5.667
Fe 0.000 0.000 3.947
```

(8)
The following is a PBE-GGA calculation of a relaxed Zn2CuTc crystal, from Alexandria via LeMat-Bulk.

## Properties
Calculated formation energy in eV/f.u.: 0.40
Energy above the most stable polymorph in this dataset in meV per atom: 94
DOS at the Fermi energy in states/eV/cell: 2.9

Geometry as extended XYZ:
```
4
Lattice="2.596 0.000 0.000 0.000 4.207 0.000 -0.787 0.000 5.058" Properties=species:S:1:pos:R:3 pbc="T T T"
Zn 0.228 0.000 1.261
Zn 1.581 0.000 3.796
Cu -0.393 2.103 2.529
Tc 1.298 2.103 0.000
```

(9)
The following is a PBE-GGA calculation of a relaxed BiIrS2 crystal, from Alexandria via LeMat-Bulk.

## Properties
E_form (uncorrected) in eV/atom: -0.116
DOS at the Fermi energy in states/eV/cell: 18.4

Geometry as extended XYZ:
```
32
Lattice="5.837 -5.324 0.000 5.837 5.324 0.000 -4.245 0.000 11.571" Properties=species:S:1:pos:R:3 pbc="T T T"
Bi -0.569 1.290 10.183
Bi 1.763 3.422 10.416
Bi 3.543 3.422 6.941
Bi 1.553 -1.290 4.398
Bi 5.875 1.290 7.173
Bi 3.886 -3.422 4.630
Bi 5.666 -3.422 1.155
Bi 7.998 -1.290 1.388
Ir 3.247 3.235 4.097
Ir 6.304 3.235 1.688
Ir 3.128 0.558 2.967
Ir 1.005 -0.558 8.752
Ir 6.424 0.558 2.819
Ir 4.301 -0.558 8.604
Ir 1.125 -3.235 9.883
Ir 4.182 -3.235 7.474
S 4.776 4.511 2.893
S 1.502 1.777 4.057
S -0.410 0.130 6.994
S 1.713 -0.130 1.209
S 4.760 1.427 1.306
S 2.653 1.205 8.678
S 4.791 1.427 4.479
S -0.620 -1.777 9.843
S 8.049 1.777 1.728
S 2.637 -1.427 7.091
S 4.776 -1.205 2.893
S 2.669 -1.427 10.265
S 5.716 0.130 10.362
S 7.839 -0.130 4.577
S 5.926 -1.777 7.513
S 2.653 -4.511 8.678
```

(10)
The following is a PBE-GGA calculation of a relaxed CaCoSn2Te crystal, from Alexandria via LeMat-Bulk.

## Properties
E_form (uncorrected) in eV/atom: -0.356
DOS at the Fermi energy in states/eV/cell: 3.3

Geometry as extended XYZ:
```
5
Lattice="4.833 0.000 0.000 0.000 4.833 0.000 0.000 0.000 5.652" Properties=species:S:1:pos:R:3 pbc="T T T"
Ca 0.000 0.000 0.000
Co 0.000 0.000 2.826
Sn 0.000 2.417 2.826
Sn 2.417 0.000 2.826
Te 2.417 2.417 0.000
```

(11)
The following is a PBE-GGA calculation of a relaxed Tl5GaO4 crystal, from Alexandria via LeMat-Bulk.

## Properties
Energy above the most stable polymorph in this dataset in meV per atom: 0
E_form (uncorrected) in eV/atom: -0.857

Geometry as extended XYZ:
```
20
Lattice="7.645 0.000 0.000 0.000 16.816 0.000 0.000 0.000 3.712" Properties=species:S:1:pos:R:3 pbc="T T T"
Tl 0.169 1.818 0.829
Tl 0.169 6.590 0.829
Tl 1.911 12.612 1.122
Tl 3.653 1.818 0.829
Tl 3.653 6.590 0.829
Tl 3.991 10.226 2.882
Tl 3.991 14.998 2.882
Tl 5.734 4.204 2.590
Tl 7.476 10.226 2.882
Tl 7.476 14.998 2.882
Ga 1.911 4.204 3.053
Ga 5.734 12.612 0.659
O 0.265 4.204 0.317
O 1.911 2.379 2.508
O 1.911 6.029 2.508
O 3.557 4.204 0.317
O 4.088 12.612 3.395
O 5.734 10.787 1.204
O 5.734 14.437 1.204
O 7.380 12.612 3.395
```

(12)
The following is a PBE-GGA calculation of a relaxed Mg3TiSi crystal, from Alexandria via LeMat-Bulk.

## Properties
Energy above the most stable polymorph in this dataset in meV per atom: 612
E_form (uncorrected) in eV/atom: 1.280
DOS at the Fermi energy in states/eV/cell: 5.5

Geometry as extended XYZ:
```
5
Lattice="5.261 0.000 0.000 0.000 5.261 0.000 0.000 0.000 5.261" Properties=species:S:1:pos:R:3 pbc="T T T"
Mg 0.000 0.000 2.630
Mg 0.000 2.630 0.000
Mg 2.630 0.000 0.000
Ti 0.000 0.000 0.000
Si 2.630 2.630 2.630
```